No. 1
First-principles (GGA-PBE) data for an optimized crystal structure of La12Sn4GeN3, as listed in Alexandria.

Cell and atoms, written as POSCAR:
```
La12Sn4GeN3
1.0
-5.255 5.255 5.255
5.255 -5.255 5.255
5.255 5.255 -5.255
La Sn Ge N
12 4 1 3
Direct
0.000 0.270 0.270 La
0.000 0.730 0.730 La
0.250 0.500 0.750 La
0.250 0.750 0.500 La
0.270 0.000 0.270 La
0.270 0.270 0.000 La
0.500 0.250 0.750 La
0.500 0.750 0.250 La
0.730 0.000 0.730 La
0.730 0.730 0.000 La
0.750 0.250 0.500 La
0.750 0.500 0.250 La
0.000 0.000 0.500 Sn
0.000 0.500 0.000 Sn
0.500 0.000 0.000 Sn
0.500 0.500 0.500 Sn
0.000 0.000 0.000 Ge
0.000 0.500 0.500 N
0.500 0.000 0.500 N
0.500 0.500 0.000 N
```

Properties
Formation energy from raw total energies in eV/atom: -0.85
Symmetry: No. 229

=====

No. 2
First-principles (GGA-PBE) data for an optimized crystal structure of LiGa2Re, as listed in Alexandria.

Cell and atoms, written as POSCAR:
```
LiGa2Re
1.0
3.193 0.000 0.000
0.000 3.193 0.000
0.000 0.000 5.641
Li Ga Re
1 2 1
Direct
0.000 0.000 0.000 Li
0.500 0.500 0.252 Ga
0.500 0.500 0.748 Ga
0.000 0.000 0.500 Re
```

Properties
E_form in kJ per mole of atoms: -7.75
Energy above the most stable polymorph in this dataset in meV/atom: 0
Symmetry: No. 123

=====

No. 3
First-principles (GGA-PBE) data for an optimized crystal structure of LaSn2Ge2Pt7, as listed in Alexandria.

Cell and atoms, written as POSCAR:
```
LaSn2Ge2Pt7
1.0
2.817 -2.818 0.000
2.817 2.818 0.000
-2.787 0.000 15.842
La Sn Ge Pt
1 2 2 7
Direct
0.000 0.000 0.000 La
0.213 0.213 0.427 Sn
0.787 0.787 0.573 Sn
0.379 0.379 0.757 Ge
0.621 0.621 0.243 Ge
0.073 0.573 0.148 Pt
0.300 0.300 0.602 Pt
0.427 0.927 0.852 Pt
0.500 0.500 0.000 Pt
0.573 0.073 0.148 Pt
0.700 0.700 0.398 Pt
0.927 0.427 0.852 Pt
```

Properties
E_form in kJ per mole of atoms: -52.96
Symmetry: No. 12

=====

No. 4
First-principles (GGA-PBE) data for an optimized crystal structure of BaMnSe2, as listed in Alexandria.

Cell and atoms, written as POSCAR:
```
BaMnSe2
1.0
-2.082 3.333 4.117
2.082 -3.333 4.117
2.082 3.333 -4.117
Ba Mn Se
1 1 2
Direct
0.000 0.000 0.000 Ba
0.500 0.500 0.000 Mn
0.301 0.801 0.500 Se
0.699 0.199 0.500 Se
```

Properties
Formation energy from raw total energies in eV/atom: -0.93
Symmetry: No. 71

=====

No. 5
First-principles (GGA-PBE) data for an optimized crystal structure of NaLiNiGe2, as listed in Alexandria.

Cell and atoms, written as POSCAR:
```
NaLiNiGe2
1.0
4.543 0.000 0.000
0.000 4.543 0.000
0.000 0.000 4.796
Na Li Ni Ge
1 1 1 2
Direct
0.000 0.000 0.000 Na
0.500 0.500 0.000 Li
0.500 0.500 0.500 Ni
0.000 0.500 0.500 Ge
0.500 0.000 0.500 Ge
```

Properties
E_form in kJ per mole of atoms: -8.54
Symmetry: No. 123

=====

No. 6
First-principles (GGA-PBE) data for an optimized crystal structure of ZrIn4Tc, as listed in Alexandria.

Cell and atoms, written as POSCAR:
```
ZrIn4Tc
1.0
0.000 4.033 4.033
4.033 0.000 4.033
4.033 4.033 0.000
Zr In Tc
1 4 1
Direct
0.000 0.000 0.000 Zr
0.125 0.625 0.625 In
0.625 0.125 0.625 In
0.625 0.625 0.125 In
0.625 0.625 0.625 In
0.250 0.250 0.250 Tc
```

Properties
E_form in kJ per mole of atoms: 48.55
Symmetry: No. 216

=====

No. 7
First-principles (GGA-PBE) data for an optimized crystal structure of Er3TlHSe, as listed in Alexandria.

Cell and atoms, written as POSCAR:
```
Er3TlHSe
1.0
8.306 0.000 0.000
0.000 4.043 0.000
-1.538 0.000 8.392
Er Tl H Se
6 2 2 2
Direct
0.079 0.250 0.311 Er
0.329 0.250 0.969 Er
0.387 0.750 0.628 Er
0.613 0.250 0.372 Er
0.671 0.750 0.031 Er
0.921 0.750 0.689 Er
0.336 0.750 0.251 Tl
0.664 0.250 0.749 Tl
0.412 0.750 0.899 H
0.588 0.250 0.101 H
0.151 0.250 0.651 Se
0.849 0.750 0.349 Se
```

Properties
Symmetry: No. 11

=====

No. 8
First-principles (GGA-PBE) data for an optimized crystal structure of NaAc2Co, as listed in Alexandria.

Cell and atoms, written as POSCAR:
```
NaAc2Co
1.0
2.093 1.208 9.771
-2.093 1.208 9.771
0.000 -2.417 9.771
Na Ac Co
1 2 1
Direct
0.000 0.000 0.000 Na
0.553 0.553 0.553 Ac
0.780 0.780 0.780 Ac
0.166 0.166 0.166 Co
```

Properties
E_form in kJ per mole of atoms: -1.08
Energy above the most stable polymorph in this dataset in meV/atom: 0
Symmetry: No. 160

=====

No. 9
First-principles (GGA-PBE) data for an optimized crystal structure of KCuAs, as listed in Alexandria.

Cell and atoms, written as POSCAR:
```
KCuAs
1.0
-2.014 2.014 10.194
2.014 -2.014 10.194
2.014 2.014 -10.194
K Cu As
2 2 2
Direct
0.151 0.151 0.000 K
0.849 0.849 0.000 K
0.000 0.500 0.500 Cu
0.500 0.000 0.500 Cu
0.428 0.428 0.000 As
0.572 0.572 0.000 As
```

Properties
E_form in kJ per mole of atoms: -20.55
Symmetry: No. 139

=====

No. 10
First-principles (GGA-PBE) data for an optimized crystal structure of ZrTi2GaHg, as listed in Alexandria.

Cell and atoms, written as POSCAR:
```
ZrTi2GaHg
1.0
4.791 0.000 0.000
0.000 4.791 0.000
0.000 0.000 4.824
Zr Ti Ga Hg
1 2 1 1
Direct
0.000 0.000 0.000 Zr
0.000 0.500 0.500 Ti
0.500 0.000 0.500 Ti
0.500 0.500 0.500 Ga
0.500 0.500 0.000 Hg
```

Properties
E_form in kJ per mole of atoms: 59.27
Symmetry: No. 123

=====

No. 11
First-principles (GGA-PBE) data for an optimized crystal structure of Pm6SnRu2Br3, as listed in Alexandria.

Cell and atoms, written as POSCAR:
```
Pm6SnRu2Br3
1.0
9.996 -2.059 0.000
9.996 2.059 0.000
-2.817 0.000 8.701
Pm Sn Ru Br
6 1 2 3
Direct
0.032 0.032 0.266 Pm
0.320 0.320 0.427 Pm
0.333 0.333 0.857 Pm
0.667 0.667 0.143 Pm
0.680 0.680 0.573 Pm
0.968 0.968 0.734 Pm
0.500 0.500 0.000 Sn
0.173 0.173 0.355 Ru
0.827 0.827 0.645 Ru
0.169 0.169 0.849 Br
0.500 0.500 0.500 Br
0.831 0.831 0.151 Br
```

Properties
Formation energy from raw total energies in eV/atom: -0.86
Symmetry: No. 12

=====

No. 12
First-principles (GGA-PBE) data for an optimized crystal structure of Tm2TiZn, as listed in Alexandria.

Cell and atoms, written as POSCAR:
```
Tm2TiZn
1.0
1.634 0.943 10.605
-1.634 0.943 10.605
0.000 -1.886 10.605
Tm Ti Zn
2 1 1
Direct
0.093 0.093 0.093 Tm
0.907 0.907 0.907 Tm
0.000 0.000 0.000 Ti
0.500 0.500 0.500 Zn
```

Properties
E_form in kJ per mole of atoms: 33.45
Energy above the most stable polymorph in this dataset in meV/atom: 326
Symmetry: No. 166

=====

No. 13
First-principles (GGA-PBE) data for an optimized crystal structure of Tm4SnTe2P, as listed in Alexandria.

Cell and atoms, written as POSCAR:
```
Tm4SnTe2P
1.0
7.324 0.000 0.000
0.000 4.206 0.000
-2.413 0.000 6.999
Tm Sn Te P
4 1 2 1
Direct
0.228 0.000 0.217 Tm
0.245 0.500 0.773 Tm
0.755 0.500 0.227 Tm
0.772 0.000 0.783 Tm
0.500 0.000 0.000 Sn
0.000 0.000 0.500 Te
0.500 0.500 0.500 Te
0.000 0.500 0.000 P
```

Properties
Formation energy from raw total energies in eV/atom: -1.21
Symmetry: No. 10

=====

No. 14
First-principles (GGA-PBE) data for an optimized crystal structure of La7IrI12, as listed in Alexandria.

Cell and atoms, written as POSCAR:
```
La7IrI12
1.0
8.186 4.726 3.758
-8.186 4.726 3.758
0.000 -9.452 3.758
La Ir I
7 1 12
Direct
0.000 0.000 0.000 La
0.194 0.472 0.396 La
0.396 0.194 0.472 La
0.472 0.396 0.194 La
0.528 0.604 0.806 La
0.604 0.806 0.528 La
0.806 0.528 0.604 La
0.500 0.500 0.500 Ir
0.028 0.112 0.341 I
0.112 0.341 0.028 I
0.179 0.571 0.724 I
0.276 0.821 0.429 I
0.341 0.028 0.112 I
0.429 0.276 0.821 I
0.571 0.724 0.179 I
0.659 0.972 0.888 I
0.724 0.179 0.571 I
0.821 0.429 0.276 I
0.888 0.659 0.972 I
0.972 0.888 0.659 I
```

Properties
Formation energy from raw total energies in eV/atom: -1.39
Symmetry: No. 148

=====

No. 15
First-principles (GGA-PBE) data for an optimized crystal structure of La3MgO, as listed in Alexandria.

Cell and atoms, written as POSCAR:
```
La3MgO
1.0
5.122 0.000 0.000
0.000 5.122 0.000
0.000 0.000 5.122
La Mg O
3 1 1
Direct
0.000 0.000 0.500 La
0.000 0.500 0.000 La
0.500 0.000 0.000 La
0.500 0.500 0.500 Mg
0.000 0.000 0.000 O
```

Properties
Formation energy from raw total energies in eV/atom: -1.21
Energy above the most stable polymorph in this dataset in meV/atom: 0
Symmetry: No. 221

=====

No. 16
First-principles (GGA-PBE) data for an optimized crystal structure of EuScAl, as listed in Alexandria.

Cell and atoms, written as POSCAR:
```
EuScAl
1.0
-1.760 1.760 6.306
1.760 -1.760 6.306
1.760 1.760 -6.306
Eu Sc Al
1 1 1
Direct
0.000 0.000 0.000 Eu
0.288 0.288 0.000 Sc
0.669 0.669 0.000 Al
```

Properties
E_form in kJ per mole of atoms: -14.15
Energy above the most stable polymorph in this dataset in meV/atom: 0
Symmetry: No. 107

=====

No. 17
First-principles (GGA-PBE) data for an optimized crystal structure of AgRuPt2, as listed in Alexandria.

Cell and atoms, written as POSCAR:
```
AgRuPt2
1.0
-3.595 3.595 2.715
3.595 -3.595 2.715
3.595 3.595 -2.715
Ag Ru Pt
2 2 4
Direct
0.000 0.000 0.000 Ag
0.750 0.250 0.500 Ag
0.250 0.750 0.500 Ru
0.500 0.500 0.000 Ru
0.147 0.125 0.522 Pt
0.375 0.853 0.978 Pt
0.603 0.625 0.478 Pt
0.875 0.397 0.022 Pt
```

Properties
E_form in kJ per mole of atoms: 58.65
Energy above the most stable polymorph in this dataset in meV/atom: 580
Symmetry: No. 122

=====

No. 18
First-principles (GGA-PBE) data for an optimized crystal structure of CdCo2Ir, as listed in Alexandria.

Cell and atoms, written as POSCAR:
```
CdCo2Ir
1.0
3.929 0.000 0.000
0.000 3.929 0.000
0.000 0.000 3.679
Cd Co Ir
1 2 1
Direct
0.000 0.000 0.000 Cd
0.000 0.500 0.500 Co
0.500 0.000 0.500 Co
0.500 0.500 0.000 Ir
```

Properties
E_form in kJ per mole of atoms: 32.93
Symmetry: No. 123

=====

No. 19
First-principles (GGA-PBE) data for an optimized crystal structure of ScGaAu3, as listed in Alexandria.

Cell and atoms, written as POSCAR:
```
ScGaAu3
1.0
5.203 0.000 0.000
0.000 5.203 0.000
0.000 0.000 5.203
Sc Ga Au
1 1 3
Direct
0.000 0.000 0.000 Sc
0.500 0.500 0.500 Ga
0.000 0.000 0.500 Au
0.000 0.500 0.000 Au
0.500 0.000 0.000 Au
```

Properties
E_form in kJ per mole of atoms: 30.88
Energy above the most stable polymorph in this dataset in meV/atom: 773
Symmetry: No. 221

=====

No. 20
First-principles (GGA-PBE) data for an optimized crystal structure of KYPd2, as listed in Alexandria.

Cell and atoms, written as POSCAR:
```
KYPd2
1.0
0.000 3.581 3.581
3.581 0.000 3.581
3.581 3.581 0.000
K Y Pd
1 1 2
Direct
0.000 0.000 0.000 K
0.500 0.500 0.500 Y
0.250 0.250 0.250 Pd
0.750 0.750 0.750 Pd
```

Properties
E_form in kJ per mole of atoms: -20.99
Energy above the most stable polymorph in this dataset in meV/atom: 0
Symmetry: No. 225

=====

Number 1: ρ 6.46 g/cm³, E -6.0842 eV per atom. Number 2: ρ 9.60 g/cm³, E -5.1842 eV per atom. Number 3: ρ 12.46 g/cm³, E -5.9200 eV per atom. Number 4: ρ 5.09 g/cm³, E -5.4494 eV per atom. Number 5: ρ 3.92 g/cm³, E -3.7382 eV per atom. Number 6: ρ 8.21 g/cm³, E -4.4748 eV per atom. Number 7: ρ 9.26 g/cm³, E -4.6241 eV per atom. Number 8: ρ 6.00 g/cm³, E -4.1716 eV per atom. Number 9: ρ 3.57 g/cm³, E -3.4940 eV per atom. Number 10: ρ 6.86 g/cm³, E -4.9190 eV per atom. Number 11: ρ 6.63 g/cm³, E -5.5359 eV per atom. Number 12: ρ 7.64 g/cm³, E -4.1813 eV per atom. Number 13: ρ 8.32 g/cm³, E -5.4088 eV per atom. Number 14: ρ 5.12 g/cm³, E -4.4862 eV per atom. Number 15: ρ 5.65 g/cm³, E -5.4748 eV per atom. Number 16: ρ 4.76 g/cm³, E -6.9295 eV per atom. Number 17: ρ 14.17 g/cm³, E -5.4443 eV per atom. Number 18: ρ 12.35 g/cm³, E -5.6557 eV per atom. Number 19: ρ 8.32 g/cm³, E -3.5181 eV per atom. Number 20: ρ 6.16 g/cm³, E -4.7044 eV per atom.